DFT (GGA-PBEsol) results for a relaxed structure of CdIr2Pt.

Geometry as extended XYZ:
```
4
Lattice="-2.5717 -0.8349 0.4784 1.5355 -4.4662 0.4603 1.1666 3.3604 4.2556" Properties=species:S:1:pos:R:3 pbc="T T T"
Ir 0.0220 0.0240 0.1600
Ir -0.9708 -0.0726 2.5342
Cd 1.0964 -1.8733 2.6246
Pt 0.6314 0.6912 4.6004
```

Computed properties:
SG   Imm2, No. 44

***

DFT (GGA-PBEsol) results for a relaxed structure of CdIrPt.

Geometry as extended XYZ:
```
3
Lattice="-2.8360 2.2302 -2.3166 -4.1277 -1.1597 -0.0311 -2.9272 2.4402 1.9649" Properties=species:S:1:pos:R:3 pbc="T T T"
Cd -2.4727 0.8777 -0.0957
Pt -4.9455 1.7554 -0.1914
Ir 0.0000 0.0000 0.0000
```

Computed properties:
SG   F-43m, No. 216

***

DFT (GGA-PBEsol) results for a relaxed structure of CdIr2Pt.

Geometry as extended XYZ:
```
4
Lattice="4.4454 0.0000 0.0000 2.2227 3.8498 0.0000 2.2227 1.2833 3.6297" Properties=species:S:1:pos:R:3 pbc="T T T"
Pt 6.6681 3.8498 2.7223
Ir 2.2227 1.2833 0.9074
Ir 0.0000 0.0000 0.0000
Cd 4.4454 2.5666 1.8148
```

Computed properties:
SG   F-43m, No. 216

***

DFT (GGA-PBEsol) results for a relaxed structure of CdIr2Pt.

Geometry as extended XYZ:
```
4
Lattice="2.7859 0.0000 0.0000 1.3930 2.4127 0.0000 1.3930 0.8042 9.1009" Properties=species:S:1:pos:R:3 pbc="T T T"
Cd 0.0000 0.0000 0.0000
Ir 1.3930 0.8042 2.3700
Ir 4.1789 2.4127 6.7310
Pt 2.7859 1.6085 4.5505
```

Computed properties:
SG   R-3m, No. 166

***

DFT (GGA-PBEsol) results for a relaxed structure of Cd2IrPt.

Geometry as extended XYZ:
```
4
Lattice="2.8608 0.0000 0.0000 1.4304 2.4775 0.0000 1.4304 0.8258 9.4062" Properties=species:S:1:pos:R:3 pbc="T T T"
Pt 1.4304 0.8258 2.4474
Cd 4.2912 2.4775 0.1340
Cd 4.2912 2.4775 6.9127
Ir 2.8608 1.6517 4.6152
```

Computed properties:
SG   R3m, No. 160

***

DFT (GGA-PBEsol) results for a relaxed structure of ZnCd2IrPt.

Geometry as extended XYZ:
```
5
Lattice="-1.7026 -3.9059 2.0797 4.7380 -1.5727 0.9252 -0.0724 2.4105 4.4679" Properties=species:S:1:pos:R:3 pbc="T T T"
Pt 0.0000 0.0000 0.0000
Ir -0.8513 -1.9529 1.0399
Cd 2.3690 -0.7863 0.4626
Cd -0.0362 1.2053 2.2339
Zn 1.4815 -1.5340 3.7364
```

Computed properties:
SG   P4/mmm, No. 123

***

DFT (GGA-PBEsol) results for a relaxed structure of RbCd2Ir.

Geometry as extended XYZ:
```
4
Lattice="4.9926 0.0000 0.0000 2.4963 4.3237 0.0000 2.4963 1.4412 4.0764" Properties=species:S:1:pos:R:3 pbc="T T T"
Cd 2.4963 1.4412 1.0191
Cd 7.4889 4.3237 3.0573
Ir 4.9926 2.8825 2.0382
Rb 0.0000 0.0000 0.0000
```

Computed properties:
SG   Fm-3m, No. 225

***

DFT (GGA-PBEsol) results for a relaxed structure of CdReIr2.

Geometry as extended XYZ:
```
4
Lattice="2.7717 0.0000 0.0000 0.0000 4.7807 -0.0060 0.0000 -1.4292 4.5621" Properties=species:S:1:pos:R:3 pbc="T T T"
Ir 0.0000 2.3903 -0.0030
Ir 0.0000 -0.7146 2.2810
Cd 1.3859 1.6757 2.2780
Re 1.3859 0.0000 0.0000
```

Computed properties:
SG   Cmmm, No. 65

***

What did we get for V? Answer: 15.706; 18.579; 15.530; 15.293; 16.667; 24.444; 21.999; 15.107 Å³ per atom, in the order shown.
What did we get for E_tot? Answer: -26.81; -15.25; -26.21; -27.08; -18.69; -16.06; -10.74; -33.16 eV per cell, in the order shown.